Here is a relaxed Li2Tb3Cd9 crystal from Alexandria. Energies are from PBE.

Values from the calculation:
* calculated density: 7.8 g/cm³
* energy of formation from the pure elements: -0.243 eV/atom
* calculated volume: 22.97 Å³ per atom
* crystal system: orthorhombic
* DOS(E_F): 8.9 states/eV/f.u.

Geometry as CIF:
```
data_Li2Tb3Cd9
_chemical_formula_sum 'Li4 Tb6 Cd18'
_cell_length_a 4.749
_cell_length_b 10.766
_cell_length_c 12.584
_cell_angle_alpha 90.00
_cell_angle_beta 90.00
_cell_angle_gamma 90.00
_space_group_name_H-M_alt 'I m m m'
_space_group_IT_number 71
_space_group_name_Hall '-I 2 2'
loop_
_atom_site_label
_atom_site_type_symbol
_atom_site_fract_x
_atom_site_fract_y
_atom_site_fract_z
Li1 Li 0.000 0.166 0.000
Tb1 Tb 0.000 0.000 0.213
Tb2 Tb 0.000 0.000 0.500
Cd1 Cd 0.000 0.279 0.361
Cd2 Cd 0.000 0.369 0.137
Cd3 Cd 0.000 0.500 0.500
```